Record 1
Entry from Alexandria: crystalline CaAc2Os at its relaxed geometry (PBE).

Unit cell a=4.485 b=8.813 c=7.756 alpha=90.00 beta=90.00 gamma=104.74
Fractional positions:
Ca (0.015, 0.030, 0.750)
Ca (0.985, 0.970, 0.250)
Ac (0.338, 0.677, 0.002)
Ac (0.662, 0.323, 0.998)
Ac (0.662, 0.323, 0.502)
Ac (0.338, 0.677, 0.498)
Os (0.189, 0.378, 0.750)
Os (0.811, 0.622, 0.250)

Calculated formation energy ... 0.00 eV/atom
Uncorrected energy ... -5.361 eV per atom
E above lowest polymorph ... 0.000 eV per formula unit
SG ... No. 63

Record 2
Entry from Alexandria: crystalline CeErIn6 at its relaxed geometry (PBE).

Unit cell a=4.671 b=4.671 c=9.311 alpha=90.00 beta=90.00 gamma=90.00
Last column: magnetic moment on the atom in μB.
Fractional positions:
Ce (0.000, 0.000, 0.000)  0.67
Er (0.000, 0.000, 0.500)  0.00
In (0.500, 0.500, 0.000)  0.01
In (0.500, 0.500, 0.500)  0.00
In (0.500, 0.000, 0.254)  0.00
In (0.500, 0.000, 0.746)  0.00
In (0.000, 0.500, 0.254)  0.00
In (0.000, 0.500, 0.746)  0.00

Calculated formation energy ... -0.40 eV/atom
Uncorrected energy ... -3.767 eV per atom
E above lowest polymorph ... 0.000 eV per formula unit
SG ... No. 123

Record 3
Entry from Alexandria: crystalline CaPmEu at its relaxed geometry (PBE).

Unit cell a=3.776 b=3.776 c=9.379 alpha=90.00 beta=90.00 gamma=120.00
Last column: magnetic moment on the atom in μB.
Fractional positions:
Eu (0.667, 0.333, 0.341)  6.99
Ca (0.000, 0.000, 0.994)  -0.01
Pm (0.333, 0.667, 0.665)  0.07

Calculated formation energy ... 0.06 eV/atom
Uncorrected energy ... -5.613 eV per atom
E above lowest polymorph ... 0.000 eV per formula unit
SG ... No. 156

Record 4
Entry from Alexandria: crystalline BaLa2SiNi at its relaxed geometry (PBE).

Unit cell a=5.362 b=5.556 c=5.362 alpha=90.00 beta=90.00 gamma=90.00
Fractional positions:
Ni (0.000, 0.000, 0.000)
Si (0.500, 0.500, 0.500)
Ba (0.000, 0.500, 0.000)
La (0.000, 0.000, 0.500)
La (0.500, 0.000, 0.000)

Formation energy without anion corrections ... 0.72 kcal/mol of atoms
Uncorrected energy ... -4.565 eV per atom
SG ... No. 123